(1)
Material: La2BePb2
Method: DFT, PBEsol
State: optimized geometry

The structure in extended XYZ format:
```
5
Lattice="-2.123 2.123 8.373 2.123 -2.123 8.373 2.123 2.123 -8.373" Properties=species:S:1:pos:R:3 pbc="T T T"
La 0.000 0.000 1.535
La 0.000 0.000 15.211
Be 0.000 0.000 8.373
Pb 2.123 0.000 4.187
Pb 0.000 2.123 4.187
```

**Symmetry**: I4/mmm
**Raw total energy**: -21.66 eV/f.u.
**ΔH_f (0 K)**: 19.9 kJ per mole of atoms



(2)
Material: SrLi2GePb
Method: DFT, PBEsol
State: optimized geometry

The structure in extended XYZ format:
```
5
Lattice="5.347 0.000 0.000 0.000 5.347 0.000 0.000 0.000 5.932" Properties=species:S:1:pos:R:3 pbc="T T T"
Sr 0.000 0.000 0.000
Li 0.000 2.673 0.000
Li 2.673 0.000 0.000
Ge 2.673 2.673 2.966
Pb 0.000 0.000 2.966
```

**Symmetry**: P4/mmm
**Raw total energy**: -9.89 eV/f.u.
**ΔH_f (0 K)**: 93.1 kJ per mole of atoms



(3)
Material: SbAs2Pt
Method: DFT, PBEsol
State: optimized geometry

The structure in extended XYZ format:
```
4
Lattice="1.917 1.107 6.307 -1.917 1.107 6.307 0.000 -2.214 6.307" Properties=species:S:1:pos:R:3 pbc="T T T"
Sb 0.000 0.000 0.000
As 0.000 0.000 4.454
As 0.000 0.000 14.467
Pt 0.000 0.000 9.460
```

**Symmetry**: R-3m
**Raw total energy**: -22.15 eV/f.u.
**Formation energy without anion corrections**: -0.10 eV per atom



(4)
Material: LiSi2P
Method: DFT, PBEsol
State: optimized geometry

The structure in extended XYZ format:
```
4
Lattice="4.477 0.000 0.000 0.000 2.745 0.000 -1.718 0.000 4.508" Properties=species:S:1:pos:R:3 pbc="T T T"
Li 0.000 0.000 0.000
Si -0.859 1.373 2.254
Si 1.380 0.000 2.254
P 2.238 1.373 0.000
```

**Symmetry**: P2/m
**Raw total energy**: -18.89 eV/f.u.
**Formation energy without anion corrections**: 0.09 eV per atom



(5)
Material: MnSiI3
Method: DFT, PBEsol
State: optimized geometry

The structure in extended XYZ format:
```
5
Lattice="5.398 0.000 0.000 0.000 5.398 0.000 0.000 0.000 5.398" Properties=species:S:1:pos:R:3 pbc="T T T"
Mn 0.000 0.000 0.000
Si 2.699 2.699 2.699
I 0.000 0.000 2.699
I 0.000 2.699 0.000
I 2.699 0.000 0.000
```

**Symmetry**: Pm-3m
**Raw total energy**: -18.34 eV/f.u.
**Formation energy without anion corrections**: 0.49 eV per atom



(6)
Material: Tl2Au2Br
Method: DFT, PBEsol
State: optimized geometry

The structure in extended XYZ format:
```
5
Lattice="-1.918 1.918 8.758 1.918 -1.918 8.758 1.918 1.918 -8.758" Properties=species:S:1:pos:R:3 pbc="T T T"
Tl 0.000 0.000 1.901
Tl 0.000 0.000 15.616
Au 1.918 0.000 4.379
Au 0.000 1.918 4.379
Br 0.000 0.000 8.758
```

**Symmetry**: I4/mmm
**Raw total energy**: -16.07 eV/f.u.
**Formation energy without anion corrections**: -0.22 eV per atom



(7)
Material: Mn3CrP6O24
Method: DFT, PBEsol
State: optimized geometry

The structure in extended XYZ format:
```
34
Lattice="4.054 2.341 7.109 -4.054 2.341 7.109 0.000 -4.681 7.109" Properties=species:S:1:pos:R:3 pbc="T T T"
Mn 0.000 0.000 0.000
Mn 0.000 0.000 4.603
Mn 0.000 0.000 10.829
Cr 0.000 0.000 15.385
P -2.928 0.393 9.493
P -1.164 -1.986 12.993
P 1.124 -2.732 9.493
P -1.138 2.002 12.993
P 1.804 2.339 9.493
P 2.303 -0.015 12.993
O -1.402 0.601 3.518
O -1.264 -0.922 5.654
O -3.274 1.020 8.147
O 0.181 -1.515 3.518
O -2.584 -2.533 13.121
O 0.754 -3.345 8.147
O -1.436 0.582 9.743
O -1.219 -0.921 11.876
O -0.166 1.556 5.654
O 0.214 -1.534 9.743
O 1.222 0.914 3.518
O 1.430 -0.634 5.654
O -0.745 -1.295 14.325
O -1.454 0.093 16.431
O -0.188 1.516 11.876
O -0.749 1.293 14.325
O 1.222 0.953 9.743
O 1.407 -0.595 11.876
O -0.902 3.504 13.121
O 0.647 -1.305 16.431
O 1.494 0.002 14.325
O 2.520 2.325 8.147
O 0.807 1.213 16.431
O 3.485 -0.971 13.121
```

**Symmetry**: R3
**Raw total energy**: -265.06 eV/f.u.
**Formation energy without anion corrections**: -1.91 eV per atom



(8)
Material: KBeCu2
Method: DFT, PBEsol
State: optimized geometry

The structure in extended XYZ format:
```
4
Lattice="-2.029 2.029 3.968 2.029 -2.029 3.968 2.029 2.029 -3.968" Properties=species:S:1:pos:R:3 pbc="T T T"
K 0.000 0.000 0.000
Be 0.000 2.029 1.984
Cu 2.029 0.000 1.984
Cu 0.000 0.000 3.968
```

**Symmetry**: I-4m2
**Raw total energy**: -9.81 eV/f.u.
**ΔH_f (0 K)**: 96.3 kJ per mole of atoms



(9)
Material: ScAl2Cl
Method: DFT, PBEsol
State: optimized geometry

The structure in extended XYZ format:
```
4
Lattice="-1.521 2.656 4.886 1.521 -2.656 4.886 1.521 2.656 -4.886" Properties=species:S:1:pos:R:3 pbc="T T T"
Sc 0.000 0.000 0.000
Al 1.521 0.000 2.491
Al 0.000 0.000 4.981
Cl 0.000 2.656 2.921
```

**Symmetry**: Imm2
**Offset from the most stable computed form**: 0 meV per atom
**Raw total energy**: -18.39 eV/f.u.
**Formation energy without anion corrections**: -0.40 eV per atom



(10)
Material: Sn2Ru
Method: DFT, PBEsol
State: optimized geometry

The structure in extended XYZ format:
```
6
Lattice="-3.171 3.171 2.855 3.171 -3.171 2.855 3.171 3.171 -2.855" Properties=species:S:1:pos:R:3 pbc="T T T"
Sn 4.205 1.033 0.000
Sn 1.033 2.138 0.000
Sn 2.138 1.033 2.855
Sn -1.033 2.138 2.855
Ru 0.000 0.000 1.428
Ru 0.000 0.000 4.283
```

**Symmetry**: I4/mcm
**Raw total energy**: -19.20 eV/f.u.
**ΔH_f (0 K)**: -16.5 kJ per mole of atoms



(11)
Material: BaMnPt2
Method: DFT, PBEsol
State: optimized geometry

The structure in extended XYZ format:
```
4
Lattice="4.800 0.000 0.000 0.000 4.800 0.000 0.000 0.000 3.583" Properties=species:S:1:pos:R:3 pbc="T T T"
Ba 0.000 0.000 0.000
Mn 2.400 2.400 0.000
Pt 0.000 2.400 1.791
Pt 2.400 0.000 1.791
```

**Symmetry**: P4/mmm
**Raw total energy**: -25.16 eV/f.u.
**ΔH_f (0 K)**: 16.2 kJ per mole of atoms



(12)
Material: ZrAg3
Method: DFT, PBEsol
State: optimized geometry

The structure in extended XYZ format:
```
4
Lattice="2.963 0.000 0.000 0.000 3.787 0.000 0.000 0.000 6.372" Properties=species:S:1:pos:R:3 pbc="T T T"
Zr 0.000 0.000 0.000
Ag 0.000 0.000 3.186
Ag 1.481 1.893 1.703
Ag 1.481 1.893 4.670
```

**Symmetry**: Pmmm
**Raw total energy**: -19.14 eV/f.u.
**ΔH_f (0 K)**: -2.7 kJ per mole of atoms



(13)
Material: Si3HOs
Method: DFT, PBEsol
State: optimized geometry

The structure in extended XYZ format:
```
5
Lattice="3.818 0.000 0.000 0.000 3.818 0.000 0.000 0.000 3.818" Properties=species:S:1:pos:R:3 pbc="T T T"
Si 0.000 0.000 1.909
Si 0.000 1.909 0.000
Si 1.909 0.000 0.000
H 0.000 0.000 0.000
Os 1.909 1.909 1.909
```

**Symmetry**: Pm-3m
**Raw total energy**: -30.42 eV/f.u.



(14)
Material: SrLa8
Method: DFT, PBEsol
State: optimized geometry

The structure in extended XYZ format:
```
9
Lattice="-5.542 5.542 2.577 5.542 -5.542 2.577 5.542 5.542 -2.577" Properties=species:S:1:pos:R:3 pbc="T T T"
Sr 0.000 0.000 0.000
La 3.747 0.000 0.000
La 7.336 0.000 0.000
La 3.560 3.560 0.000
La 1.981 -1.981 2.577
La 0.000 3.747 0.000
La 0.000 7.336 0.000
La -1.981 1.981 2.577
La 1.981 1.981 2.577
```

**Symmetry**: I4/mmm
**Raw total energy**: -44.17 eV/f.u.
**ΔH_f (0 K)**: 4.7 kJ per mole of atoms



(15)
Material: InNi
Method: DFT, PBEsol
State: optimized geometry

The structure in extended XYZ format:
```
10
Lattice="6.228 -2.134 0.000 6.228 2.134 0.000 -3.948 0.000 5.886" Properties=species:S:1:pos:R:3 pbc="T T T"
In 0.000 0.000 0.000
In -1.343 0.000 4.374
In 1.792 0.000 3.811
In 6.716 0.000 2.075
In 9.851 0.000 1.513
Ni 2.207 0.000 1.260
Ni 4.646 0.000 0.320
Ni 4.254 0.000 2.943
Ni 3.862 0.000 5.566
Ni 6.301 0.000 4.626
```

**Symmetry**: C2/m
**Raw total energy**: -9.50 eV/f.u.
**ΔH_f (0 K)**: -17.6 kJ per mole of atoms



(16)
Material: MgTaIr2
Method: DFT, PBEsol
State: optimized geometry

The structure in extended XYZ format:
```
4
Lattice="2.768 0.000 0.000 0.000 2.768 0.000 0.000 0.000 8.294" Properties=species:S:1:pos:R:3 pbc="T T T"
Mg 0.000 0.000 0.000
Ta 1.384 1.384 2.468
Ir 0.000 0.000 4.499
Ir 1.384 1.384 6.357
```

**Symmetry**: P4mm
**Offset from the most stable computed form**: 555 meV per atom
**Raw total energy**: -33.98 eV/f.u.
**ΔH_f (0 K)**: -1.5 kJ per mole of atoms



(17)
Material: KLi5
Method: DFT, PBEsol
State: optimized geometry

The structure in extended XYZ format:
```
6
Lattice="6.285 0.000 0.000 -3.143 5.443 0.000 0.000 0.000 4.974" Properties=species:S:1:pos:R:3 pbc="T T T"
K 0.000 0.000 0.000
Li -1.571 2.722 2.487
Li 0.000 3.629 0.000
Li 3.143 0.000 2.487
Li 1.571 2.722 2.487
Li 3.143 1.814 0.000
```

**Symmetry**: P6/mmm
**Offset from the most stable computed form**: 0 meV per atom
**Raw total energy**: -10.45 eV/f.u.
**ΔH_f (0 K)**: 8.3 kJ per mole of atoms



(18)
Material: Mg2AlTl
Method: DFT, PBEsol
State: optimized geometry

The structure in extended XYZ format:
```
4
Lattice="4.924 -1.655 0.000 4.924 1.655 0.000 -1.030 0.000 5.320" Properties=species:S:1:pos:R:3 pbc="T T T"
Mg 2.171 0.000 1.270
Mg 6.647 0.000 4.050
Al 4.924 0.000 0.000
Tl -0.515 0.000 2.660
```

**Symmetry**: C2/m
**Raw total energy**: -10.03 eV/f.u.
**ΔH_f (0 K)**: 2.9 kJ per mole of atoms



(19)
Material: CaHf3O
Method: DFT, PBEsol
State: optimized geometry

The structure in extended XYZ format:
```
5
Lattice="4.890 0.000 0.000 0.000 4.890 0.000 0.000 0.000 4.890" Properties=species:S:1:pos:R:3 pbc="T T T"
Ca 0.000 0.000 0.000
Hf 0.000 0.000 2.445
Hf 0.000 2.445 0.000
Hf 2.445 0.000 0.000
O 2.445 2.445 2.445
```

**Symmetry**: Pm-3m
**Raw total energy**: -27.72 eV/f.u.
**Formation energy without anion corrections**: 2.23 eV per atom



(20)
Material: HgI3O
Method: DFT, PBEsol
State: optimized geometry

The structure in extended XYZ format:
```
5
Lattice="5.044 0.000 0.000 0.000 5.044 0.000 0.000 0.000 5.044" Properties=species:S:1:pos:R:3 pbc="T T T"
Hg 0.000 0.000 0.000
I 0.000 2.522 2.522
I 2.522 0.000 2.522
I 2.522 2.522 0.000
O 2.522 2.522 2.522
```

**Symmetry**: Pm-3m
**Raw total energy**: -9.64 eV/f.u.
**Formation energy without anion corrections**: 0.29 eV per atom



(21)
Material: Sc2MnTe
Method: DFT, PBEsol
State: optimized geometry

The structure in extended XYZ format:
```
4
Lattice="1.814 1.047 7.675 -1.814 1.047 7.675 0.000 -2.095 7.675" Properties=species:S:1:pos:R:3 pbc="T T T"
Sc 0.000 0.000 5.686
Sc 0.000 0.000 17.338
Mn 0.000 0.000 11.512
Te 0.000 0.000 0.000
```

**Symmetry**: R-3m
**Raw total energy**: -27.08 eV/f.u.
**Formation energy without anion corrections**: -0.15 eV per atom



(22)
Material: YCuCl3
Method: DFT, PBEsol
State: optimized geometry

The structure in extended XYZ format:
```
5
Lattice="5.194 0.000 0.000 0.000 5.194 0.000 0.000 0.000 5.194" Properties=species:S:1:pos:R:3 pbc="T T T"
Y 0.000 0.000 0.000
Cu 2.597 2.597 2.597
Cl 0.000 0.000 2.597
Cl 0.000 2.597 0.000
Cl 2.597 0.000 0.000
```

**Symmetry**: Pm-3m
**Raw total energy**: -22.27 eV/f.u.
**Formation energy without anion corrections**: -1.02 eV per atom



(23)
Material: La2TlPt
Method: DFT, PBEsol
State: optimized geometry

The structure in extended XYZ format:
```
4
Lattice="3.542 -2.040 0.000 3.542 2.040 0.000 -2.347 0.000 8.325" Properties=species:S:1:pos:R:3 pbc="T T T"
La 1.185 0.000 1.705
La 3.552 0.000 6.620
Tl -1.174 0.000 4.163
Pt 3.542 0.000 0.000
```

**Symmetry**: C2/m
**Offset from the most stable computed form**: 65 meV per atom
**Raw total energy**: -22.97 eV/f.u.
**ΔH_f (0 K)**: -64.7 kJ per mole of atoms



(24)
Material: Li3Al
Method: DFT, PBEsol
State: optimized geometry

The structure in extended XYZ format:
```
4
Lattice="2.704 0.000 0.000 0.000 4.426 0.000 0.000 0.000 5.641" Properties=species:S:1:pos:R:3 pbc="T T T"
Li 0.000 0.000 0.000
Li 1.352 2.213 1.532
Li 1.352 2.213 4.109
Al 0.000 0.000 2.821
```

**Symmetry**: Pmmm
**Raw total energy**: -10.29 eV/f.u.
**ΔH_f (0 K)**: -7.2 kJ per mole of atoms



(25)
Material: SrCaSb2
Method: DFT, PBEsol
State: optimized geometry

The structure in extended XYZ format:
```
4
Lattice="2.052 1.185 8.883 -2.052 1.185 8.883 0.000 -2.369 8.883" Properties=species:S:1:pos:R:3 pbc="T T T"
Sr 0.000 0.000 0.000
Ca 0.000 0.000 13.325
Sb 0.000 0.000 6.571
Sb 0.000 0.000 20.079
```

**Symmetry**: R-3m
**Offset from the most stable computed form**: 145 meV per atom
**Raw total energy**: -16.00 eV/f.u.
**Formation energy without anion corrections**: -0.73 eV per atom



(26)
Material: BaBeRu2
Method: DFT, PBEsol
State: optimized geometry

The structure in extended XYZ format:
```
4
Lattice="0.000 3.260 3.260 3.260 0.000 3.260 3.260 3.260 0.000" Properties=species:S:1:pos:R:3 pbc="T T T"
Ba 0.000 0.000 0.000
Be 4.889 4.889 4.889
Ru 1.630 1.630 1.630
Ru 3.260 3.260 3.260
```

**Symmetry**: F-43m
**Raw total energy**: -21.96 eV/f.u.
**ΔH_f (0 K)**: 109.3 kJ per mole of atoms



(27)
Material: TlFeSi2
Method: DFT, PBEsol
State: optimized geometry

The structure in extended XYZ format:
```
4
Lattice="3.872 0.000 0.000 0.000 3.991 0.000 -1.254 0.000 4.547" Properties=species:S:1:pos:R:3 pbc="T T T"
Tl 0.000 0.000 0.000
Fe 1.309 0.000 2.273
Si 0.799 1.995 3.332
Si 1.819 1.995 1.215
```

**Symmetry**: P2/m
**Offset from the most stable computed form**: 0 meV per atom
**Raw total energy**: -21.69 eV/f.u.
**Formation energy without anion corrections**: 0.35 eV per atom